No. 1
# Y3Br

A relaxed Y3Br crystal (GGA-PBE, the Alexandria database).

Summary:
The spin magnetization comes out at 0.000 μB per cell. The value obtained for the formation energy (no corrections) is -0.08 eV per atom. As for the energy above the lowest structure with this stoichiometry: 0.477 eV per atom.

a b c (Å): 5.744 6.375 6.680
angles (deg): 90.00 90.00 90.00
Space group Pmmn (No. 59, origin choice 2)
Symmetry-distinct sites (fractional):
Y  0.250  0.000  0.134 (multiplicity 4)
Y  0.250  0.250  0.635 (multiplicity 2)
Br  0.250  0.750  0.748 (multiplicity 2)


No. 2
# YBr3

A relaxed YBr3 crystal (GGA-PBE, the Alexandria database).

Summary:
The spin magnetization comes out at 0.000 μB per cell. The value obtained for the formation energy (no corrections) is -1.89 eV per atom.

a b c (Å): 7.249 12.564 7.330
angles (deg): 90.00 109.04 90.00
Space group C2/m (No. 12)
Symmetry-distinct sites (fractional):
Y  0.000  0.166  0.000 (multiplicity 4)
Br  0.211  0.000  0.235 (multiplicity 4)
Br  0.242  0.182  0.768 (multiplicity 8)